1.
# Li2HgBi2

A PBEsol-optimized structure of Li2HgBi2 (meta-GGA SCAN, the Alexandria database).

```
data_Li2HgBi2
_symmetry_space_group_name_H-M 'P 1'
_symmetry_Int_Tables_number 1
_cell_length_a 5.554
_cell_length_b 5.945
_cell_length_c 5.554
_cell_angle_alpha 62.16
_cell_angle_beta 90.00
_cell_angle_gamma 117.84
loop_
_symmetry_equiv_pos_as_xyz
'x,y,z'
loop_
_atom_site_label
_atom_site_fract_x
_atom_site_fract_y
_atom_site_fract_z
Li1 0.750 0.500 0.750
Bi1 0.329 0.659 0.671
Bi2 0.671 0.341 0.329
Li2 0.250 0.500 0.250
Hg1 0.000 0.000 0.000
```

D(E_F) (states/eV per cell): 2.3

=====

2.
# Cr2CdCu

A PBEsol-optimized structure of Cr2CdCu (meta-GGA SCAN, the Alexandria database).

```
data_Cr2CdCu
_symmetry_space_group_name_H-M 'P 1'
_symmetry_Int_Tables_number 1
_cell_length_a 3.655
_cell_length_b 3.659
_cell_length_c 4.223
_cell_angle_alpha 90.00
_cell_angle_beta 90.00
_cell_angle_gamma 90.00
loop_
_symmetry_equiv_pos_as_xyz
'x,y,z'
loop_
_atom_site_label
_atom_site_fract_x
_atom_site_fract_y
_atom_site_fract_z
Cr1 0.000 0.000 0.000
Cd1 0.000 0.500 0.500
Cr2 0.500 0.500 0.000
Cu1 0.500 0.000 0.500
```

D(E_F) (states/eV per cell): 2.4

=====

What did we get for calculated formation energy? Answer: -86; 155 meV/atom, in the order shown.